Computed, not measured: La2PaH12Rh3 after structural relaxation at the GGA-PBE level of DFT.

abc: 6.196 6.196 6.196
angles: 65.39 65.39 65.39
Atoms (fractional coordinates):
La 0.616 0.616 0.616
La 0.384 0.384 0.384
Pa 0.000 0.000 0.000
H 0.280 0.280 0.882
H 0.865 0.865 0.413
H 0.413 0.865 0.865
H 0.882 0.280 0.280
H 0.865 0.413 0.865
H 0.280 0.882 0.280
H 0.720 0.720 0.118
H 0.135 0.135 0.587
H 0.587 0.135 0.135
H 0.118 0.720 0.720
H 0.135 0.587 0.135
H 0.720 0.118 0.720
Rh 0.500 0.000 0.000
Rh 0.000 0.500 0.000
Rh 0.000 0.000 0.500

magnetic moment = 2.495 μB/f.u.
volume = 188 Å³/cell
final energy = -87.37 eV/cell

***

Computed, not measured: SrH2Ru after structural relaxation at the GGA-PBE level of DFT.

abc: 4.526 4.526 6.237
angles: 68.73 68.73 90.00
Atoms (fractional coordinates):
Ru 0.000 0.000 0.000
Ru 0.750 0.250 0.500
H 0.799 0.125 0.250
H 0.951 0.625 0.250
H 0.375 0.201 0.750
H 0.875 0.049 0.750
Sr 0.500 0.500 0.000
Sr 0.250 0.750 0.500

magnetic moment = 0.000 μB/f.u.
relative energy among the computed polymorphs = 0 kJ/mol of formula units
volume = 110 Å³/cell
final energy = -35.35 eV/cell

***

Computed, not measured: Y2Ho6Tm3Pu after structural relaxation at the GGA-PBE level of DFT.

abc: 6.087 6.087 11.609
angles: 95.02 95.02 120.00
Atoms (fractional coordinates):
Y 0.333 0.667 0.000
Y 0.667 0.333 0.000
Ho 0.917 0.587 0.750
Ho 0.754 0.754 0.251
Ho 0.083 0.413 0.250
Ho 0.587 0.917 0.750
Ho 0.246 0.246 0.749
Ho 0.413 0.083 0.250
Tm 0.167 0.833 0.500
Tm 0.833 0.167 0.500
Tm 0.500 0.500 0.500
Pu 0.000 0.000 0.000

magnetic moment = 6.577 μB/f.u.
DFT formation energy = 4.7 kJ per mole of atoms
volume = 367 Å³/cell
final energy = -67.56 eV/cell